Entry 1:
Computed, not measured: crystalline NaY2CuSe4 at its relaxed geometry at the GGA-PBE level of DFT.

abc: 7.098 7.098 14.314
angles: 90.00 90.00 146.75
Sites, in units of the cell vectors:
Na (0.117, 0.883, 0.750)
Na (0.883, 0.117, 0.250)
Y (0.365, 0.635, 0.568)
Y (0.365, 0.635, 0.932)
Y (0.635, 0.365, 0.068)
Y (0.635, 0.365, 0.432)
Cu (0.155, 0.845, 0.250)
Cu (0.845, 0.155, 0.750)
Se (0.000, 0.000, 0.000)
Se (0.000, 0.000, 0.500)
Se (0.272, 0.728, 0.117)
Se (0.272, 0.728, 0.383)
Se (0.449, 0.551, 0.750)
Se (0.551, 0.449, 0.250)
Se (0.728, 0.272, 0.617)
Se (0.728, 0.272, 0.883)

Calculated values
- symmetry = Cmcm (63)
- ΔE_f (raw) (eV per atom) = -1.47

***

Entry 2:
Computed, not measured: crystalline Cu3PPd at its relaxed geometry at the GGA-PBE level of DFT.

abc: 4.609 4.609 4.609
angles: 90.00 90.00 90.00
Sites, in units of the cell vectors:
Cu (0.000, 0.000, 0.500)
Cu (0.000, 0.500, 0.000)
Cu (0.500, 0.000, 0.000)
P (0.500, 0.500, 0.500)
Pd (0.000, 0.000, 0.000)

Calculated values
- symmetry = Pm-3m (221)
- energy relative to the elements (eV/atom) = 1.15

***

Entry 3:
Computed, not measured: crystalline Ho6Tm12Zr at its relaxed geometry at the GGA-PBE level of DFT.

abc: 8.522 8.522 8.522
angles: 98.78 98.78 98.78
Sites, in units of the cell vectors:
Ho (0.166, 0.599, 0.599)
Ho (0.401, 0.401, 0.834)
Ho (0.401, 0.834, 0.401)
Ho (0.599, 0.166, 0.599)
Ho (0.599, 0.599, 0.166)
Ho (0.834, 0.401, 0.401)
Tm (0.000, 0.255, 0.745)
Tm (0.000, 0.745, 0.255)
Tm (0.151, 0.151, 0.420)
Tm (0.151, 0.420, 0.151)
Tm (0.255, 0.000, 0.745)
Tm (0.255, 0.745, 0.000)
Tm (0.420, 0.151, 0.151)
Tm (0.580, 0.849, 0.849)
Tm (0.745, 0.000, 0.255)
Tm (0.745, 0.255, 0.000)
Tm (0.849, 0.580, 0.849)
Tm (0.849, 0.849, 0.580)
Zr (0.500, 0.500, 0.500)

Calculated values
- symmetry = R-3m (166)
- energy relative to the elements (eV/atom) = 0.25

***

| no. | uncorrected energy (Ha/atom) |
| --- | --- |
| 1 | -0.20238 |
| 2 | -0.12606 |
| 3 | -0.16421 |